## MgTcB3 (GGA-PBE)

Data for an optimized crystal structure of MgTcB3.

abc: 4.092 4.092 4.092
angles: 90.00 90.00 90.00
Atoms (fractional coordinates):
B1 0.000 0.500 0.000
B2 0.000 0.000 0.500
Tc1 0.000 0.000 0.000
B3 0.500 0.000 0.000
Mg1 0.500 0.500 0.500

Values from the calculation:
- formation energy from the elements (eV/atom) = 0.7824
- energy (eV for the cell shown) = -28.08
- relative energy among the computed polymorphs (meV/atom) = 0